# Tl4C5 GGA-PBE relaxed
data_Tl4C5
_chemical_formula_sum 'Tl8 C10'
_space_group_name_H-M_alt 'P 1'
_space_group_IT_number 1
_cell_length_a 7.1886
_cell_length_b 7.1886
_cell_length_c 11.2722
_cell_angle_alpha 90.00
_cell_angle_beta 90.00
_cell_angle_gamma 120.00
loop_
_space_group_symop_operation_xyz
'x,y,z'
loop_
_atom_site_label
_atom_site_type_symbol
_atom_site_fract_x
_atom_site_fract_y
_atom_site_fract_z
Tl1 Tl 0.0000 0.0000 0.0000
Tl2 Tl 0.0000 0.0000 0.5000
Tl3 Tl 0.0000 0.4677 0.2500
Tl4 Tl 0.0000 0.5323 0.7500
Tl5 Tl 0.4677 0.0000 0.2500
Tl6 Tl 0.4677 0.4677 0.7500
Tl7 Tl 0.5323 0.0000 0.7500
Tl8 Tl 0.5323 0.5323 0.2500
C1 C 0.0000 0.1136 0.2500
C2 C 0.0000 0.8864 0.7500
C3 C 0.1136 0.0000 0.2500
C4 C 0.1136 0.1136 0.7500
C5 C 0.3333 0.6667 0.0000
C6 C 0.3333 0.6667 0.5000
C7 C 0.6667 0.3333 0.0000
C8 C 0.6667 0.3333 0.5000
C9 C 0.8864 0.0000 0.7500
C10 C 0.8864 0.8864 0.2500
# total magnetic moment	5.5	μB per formula unit
# DFT formation energy	2.228	eV per atom